(1)
Computed, not measured: crystalline Sr2ZnGa at its relaxed geometry at the PBE level of DFT.

Output
The value obtained for the calculated formation energy is 206 meV per atom. The calculation puts the raw total energy at -13.679 eV/cell. The magnetic moment comes out at 0.000 μB per formula unit.

Structure (POSCAR):
```
Sr2ZnGa
1.0
5.388 0.000 0.000
0.000 5.388 0.000
2.694 2.694 10.303
Sr Zn Ga
4 2 2
Cartesian
4.041 1.347 2.576 Sr
1.347 4.041 2.576 Sr
4.041 4.041 7.728 Sr
6.735 6.736 7.728 Sr
2.694 2.694 0.000 Zn
2.694 5.388 5.152 Zn
0.000 0.000 0.000 Ga
5.388 2.694 5.152 Ga
```

***

(2)
Computed, not measured: crystalline NdDyRh at its relaxed geometry at the PBE level of DFT.

Output
The value obtained for the calculated formation energy is -483 meV per atom. The calculation puts the raw total energy at -18.172 eV/cell. The magnetic moment comes out at 0.000 μB per formula unit. As for the relative energy among the computed polymorphs: 12 kJ/mol of formula units.

Structure (POSCAR):
```
NdDyRh
1.0
-1.760 0.655 2.959
-2.970 -1.053 -1.534
3.471 -5.823 1.278
Nd Rh Dy
1 1 1
Cartesian
0.074 -0.403 0.133 Nd
-1.982 -2.288 1.403 Rh
0.648 -3.530 1.167 Dy
```

***

(3)
Computed, not measured: crystalline CrAg2Pt at its relaxed geometry at the PBE level of DFT.

Output
The value obtained for the calculated formation energy is 162 meV per atom. The calculation puts the raw total energy at -20.720 eV/cell. The magnetic moment comes out at 3.881 μB per formula unit. As for the relative energy among the computed polymorphs: 26 kJ/mol of formula units.

Structure (POSCAR):
```
CrAg2Pt
1.0
-3.024 1.853 3.319
-4.522 1.566 0.833
-2.135 -4.204 1.771
Ag Cr Pt
2 1 1
Cartesian
-9.643 -0.759 5.898 Ag
-7.304 -0.622 4.473 Ag
-4.836 -0.251 2.943 Cr
-2.420 -0.332 1.496 Pt
```

***

(4)
Computed, not measured: crystalline Dy6Te3Pb2Se at its relaxed geometry at the PBE level of DFT.

Output
The calculation puts the raw total energy at -61.530 eV/cell. The calculation puts the uncorrected formation energy at -1133 meV per atom. The magnetic moment comes out at 0.000 μB per formula unit.

Structure (POSCAR):
```
Dy6Te3Pb2Se
1.0
4.354 0.000 0.000
0.000 8.719 0.292
-2.177 -2.534 9.145
Dy Te Pb Se
6 3 2 1
Cartesian
0.000 6.264 6.494 Dy
2.177 4.173 3.233 Dy
2.177 -0.079 2.942 Dy
0.000 2.014 0.104 Dy
2.177 4.171 9.332 Dy
0.000 2.012 6.203 Dy
2.177 4.359 0.146 Te
2.177 -0.232 6.135 Te
0.000 6.417 3.302 Te
2.177 4.152 6.303 Pb
0.000 2.033 3.133 Pb
2.177 0.000 0.000 Se
```

***

(5)
Computed, not measured: crystalline Ac3Pm6Pr at its relaxed geometry at the PBE level of DFT.

Output
The value obtained for the calculated formation energy is 364 meV per atom. The calculation puts the raw total energy at -41.973 eV/cell. The magnetic moment comes out at 0.057 μB per formula unit.

Structure (POSCAR):
```
Ac3Pm6Pr
1.0
-0.915 3.613 9.524
-5.594 -5.090 6.884
1.309 -2.721 6.649
Ac Pm Pr
3 6 1
Cartesian
-1.035 -3.101 12.060 Ac
-3.735 -1.372 11.144 Ac
0.358 -2.112 6.327 Ac
-3.895 -0.300 14.392 Pm
-5.119 -4.384 10.285 Pm
-1.691 0.248 8.925 Pm
-1.689 -3.732 8.544 Pm
-0.397 0.432 12.601 Pm
-3.855 -4.188 14.073 Pm
-4.944 -2.480 16.939 Pr
```

***

(6)
Computed, not measured: crystalline PmEr5Cd3 at its relaxed geometry at the PBE level of DFT.

Output
The value obtained for the calculated formation energy is -176 meV per atom. The calculation puts the raw total energy at -63.786 eV/cell. The magnetic moment comes out at 0.000 μB per formula unit.

Structure (POSCAR):
```
PmEr5Cd3
1.0
6.917 0.000 0.000
0.000 9.140 0.000
0.000 -4.570 7.915
Pm Er Cd
2 10 6
Cartesian
0.000 0.000 0.000 Pm
3.458 0.000 0.000 Pm
0.000 4.570 2.638 Er
3.458 0.000 5.277 Er
0.000 0.000 5.277 Er
3.458 4.570 2.638 Er
5.188 3.043 5.270 Er
5.188 7.613 2.645 Er
5.188 3.054 0.000 Er
1.729 1.527 2.645 Er
1.729 -3.043 5.270 Er
1.729 6.085 0.000 Er
5.188 1.536 2.661 Cd
5.188 -3.034 5.254 Cd
5.188 6.067 0.000 Cd
1.729 3.034 5.254 Cd
1.729 7.603 2.661 Cd
1.729 3.073 0.000 Cd
```

***

Look up the raw total energy of the first one.
-13.679 eV/cell